# 1
Density functional theory data (PBE-GGA) for an optimized crystal structure of Pr2Cd5Au3.

Cell: 6.097 9.427 9.427 Å, 88.15 71.13 71.13°
Fractional coordinates of all 20 atoms:
Cd (0.000, 0.250, 0.250)
Cd (0.750, 0.500, 0.500)
Cd (0.500, 0.750, 0.750)
Cd (0.385, 0.257, 0.973)
Cd (0.115, 0.027, 0.743)
Cd (0.500, 0.250, 0.250)
Cd (0.615, 0.743, 0.027)
Cd (0.250, 0.500, 0.500)
Cd (0.885, 0.973, 0.257)
Cd (0.000, 0.750, 0.750)
Au (0.750, 0.000, 0.000)
Au (0.874, 0.776, 0.476)
Au (0.626, 0.524, 0.224)
Au (0.250, 0.000, 0.000)
Au (0.126, 0.224, 0.524)
Au (0.374, 0.476, 0.776)
Pr (0.628, 0.133, 0.611)
Pr (0.128, 0.611, 0.133)
Pr (0.372, 0.867, 0.389)
Pr (0.872, 0.389, 0.867)

Calculated values
Energy above the most stable polymorph in this dataset (meV/atom): 54.6
E_form (meV/atom): -390
Total magnetization (μB per formula unit): 0.0
Volume (Å³ per cell): 483.62

# 2
Density functional theory data (PBE-GGA) for an optimized crystal structure of Pr3Cd4Au4.

Cell: 4.179 8.160 9.173 Å, 116.41 103.17 90.00°
Fractional coordinates of all 11 atoms:
Cd (0.668, 0.859, 0.337)
Cd (0.332, 0.141, 0.663)
Cd (0.332, 0.523, 0.663)
Cd (0.668, 0.477, 0.337)
Au (0.236, 0.736, 0.472)
Au (0.500, 0.193, 0.000)
Au (0.500, 0.807, 0.000)
Au (0.764, 0.264, 0.528)
Pr (0.882, 0.882, 0.763)
Pr (0.000, 0.500, 0.000)
Pr (0.118, 0.118, 0.237)

Calculated values
E_form (meV/atom): -547
Total magnetization (μB per formula unit): 0.0
Volume (Å³ per cell): 270.96

# 3
Density functional theory data (PBE-GGA) for an optimized crystal structure of Pr2Cd5Au3.

Cell: 4.628 7.623 13.724 Å, 90.00 99.71 90.00°
Fractional coordinates of all 20 atoms:
Pr (0.179, 0.690, 0.357)
Pr (0.478, 0.791, 0.956)
Pr (0.821, 0.190, 0.643)
Pr (0.522, 0.291, 0.044)
Au (0.389, 0.034, 0.777)
Au (0.234, 0.180, 0.467)
Au (0.044, 0.008, 0.089)
Au (0.766, 0.680, 0.533)
Au (0.611, 0.534, 0.223)
Au (0.956, 0.508, 0.911)
Cd (0.602, 0.919, 0.203)
Cd (0.294, 0.487, 0.588)
Cd (0.706, 0.987, 0.412)
Cd (0.705, 0.377, 0.410)
Cd (0.874, 0.755, 0.748)
Cd (0.055, 0.624, 0.110)
Cd (0.398, 0.419, 0.797)
Cd (0.945, 0.124, 0.890)
Cd (0.295, 0.877, 0.590)
Cd (0.126, 0.255, 0.252)

Calculated values
Energy above the most stable polymorph in this dataset (meV/atom): 0.0
E_form (meV/atom): -445
Total magnetization (μB per formula unit): 0.0
Volume (Å³ per cell): 477.25

# 4
Density functional theory data (PBE-GGA) for an optimized crystal structure of Pr4CdPtAu2.

Cell: 5.305 5.305 9.171 Å, 73.19 73.19 60.00°
Fractional coordinates of all 8 atoms:
Cd (0.000, 0.000, 0.000)
Pt (0.500, 0.500, 0.500)
Pr (0.617, 0.617, 0.150)
Pr (0.869, 0.869, 0.394)
Pr (0.383, 0.383, 0.850)
Pr (0.131, 0.131, 0.606)
Au (0.262, 0.262, 0.214)
Au (0.738, 0.738, 0.786)

Calculated values
E_form (meV/atom): -719
Total magnetization (μB per formula unit): 0.0
Volume (Å³ per cell): 210.64

# 5
Density functional theory data (PBE-GGA) for an optimized crystal structure of PrCdPtAu.

Cell: 5.003 5.003 5.003 Å, 60.00 60.00 60.00°
Fractional coordinates of all 4 atoms:
Pr (0.250, 0.250, 0.250)
Pt (0.500, 0.500, 0.500)
Au (0.000, 0.000, 0.000)
Cd (0.750, 0.750, 0.750)

Calculated values
E_form (meV/atom): -666
Total magnetization (μB per formula unit): 0.0
Volume (Å³ per cell): 88.55

# 6
Density functional theory data (PBE-GGA) for an optimized crystal structure of PrCdRhAu.

Cell: 4.952 4.952 4.952 Å, 60.00 60.00 60.00°
Fractional coordinates of all 4 atoms:
Rh (0.500, 0.500, 0.500)
Au (0.000, 0.000, 0.000)
Cd (0.750, 0.750, 0.750)
Pr (0.250, 0.250, 0.250)

Calculated values
E_form (meV/atom): -447
Total magnetization (μB per formula unit): 0.0
Volume (Å³ per cell): 85.88

# 7
Density functional theory data (PBE-GGA) for an optimized crystal structure of PrScCd2Au4.

Cell: 4.903 4.903 8.626 Å, 73.49 73.49 60.00°
Fractional coordinates of all 8 atoms:
Sc (0.500, 0.500, 0.500)
Au (0.615, 0.615, 0.154)
Au (0.385, 0.385, 0.846)
Au (0.868, 0.868, 0.395)
Au (0.132, 0.132, 0.605)
Pr (0.000, 0.000, 0.000)
Cd (0.250, 0.250, 0.250)
Cd (0.750, 0.750, 0.750)

Calculated values
E_form (meV/atom): -607
Total magnetization (μB per formula unit): 0.0
Volume (Å³ per cell): 169.66

# 8
Density functional theory data (PBE-GGA) for an optimized crystal structure of PrSc2CdAu4.

Cell: 4.768 4.768 9.280 Å, 75.12 75.12 60.00°
Fractional coordinates of all 8 atoms:
Sc (0.764, 0.764, 0.709)
Sc (0.236, 0.236, 0.291)
Au (0.879, 0.879, 0.363)
Au (0.121, 0.121, 0.637)
Au (0.392, 0.392, 0.824)
Au (0.608, 0.608, 0.176)
Cd (0.500, 0.500, 0.500)
Pr (0.000, 0.000, 0.000)

Calculated values
E_form (meV/atom): -657
Total magnetization (μB per formula unit): 0.0
Volume (Å³ per cell): 174.45

no.,density of states at the Fermi level (states/eV per atom)
1,0.47
2,0.68
3,0.64
4,0.89
5,0.68
6,0.63
7,0.54
8,0.64